(1)
Computed, not measured: an optimized crystal structure of MnBrCl2 at the PBE level of DFT.

The structure in POSCAR format:
```
MnBrCl2
1.0
-2.603 -0.705 -1.780
1.588 -2.473 -1.344
-3.217 -5.890 7.036
Cl Mn Br
2 1 1
Cartesian
-0.020 -0.037 0.044
-1.601 -3.591 0.829
-1.567 -2.869 3.427
-2.653 -5.517 3.130
```

Calculated values
- Total magnetic moment: 5.32 μB/f.u.
- E: -3.8294 eV per atom


(2)
Computed, not measured: an optimized crystal structure of MnBrCl2 at the PBE level of DFT.

The structure in POSCAR format:
```
MnBrCl2
1.0
3.156 0.000 0.000
0.000 3.156 0.000
0.000 0.000 10.847
Mn Br Cl
1 1 2
Cartesian
1.578 1.578 2.712
1.578 1.578 8.135
0.000 0.000 4.241
0.000 0.000 1.183
```

Calculated values
- Total magnetic moment: 4.98 μB/f.u.
- E: -4.0555 eV per atom